Entry 1:
{"formula": "LaTl2Au2", "functional": "GGA-PBE", "state": "relaxed", "cell": [[8.5227, 0.0000, 0.0000], [0.0000, 8.5227, 0.0000], [0.0000, 0.0000, 3.5252]], "species": ["La", "La", "Tl", "Tl", "Tl", "Tl", "Au", "Au", "Au", "Au"], "fractional_positions": [[0.0000, 0.0000, 0.0000], [0.5000, 0.5000, 0.0000], [0.1296, 0.3704, 0.0000], [0.3704, 0.8704, 0.0000], [0.6296, 0.1296, 0.0000], [0.8704, 0.6296, 0.0000], [0.1699, 0.6699, 0.5000], [0.3301, 0.1699, 0.5000], [0.6699, 0.8301, 0.5000], [0.8301, 0.3301, 0.5000]], "sg": "No. 127", "magmom_total_mub_per_atom": 0.102, "energy_ev_per_atom": -3.43, "dos_ef_per_ev_cell": 8.38, "relative_energy_mev_per_atom": 189}

Entry 2:
{"formula": "Nd4Ge2O", "functional": "GGA-PBE", "state": "relaxed", "cell": [[6.8384, 0.0000, 0.0000], [0.0000, 6.8599, 0.0000], [-2.6498, 0.0000, 8.0913]], "species": ["Nd", "Nd", "Nd", "Nd", "Nd", "Nd", "Nd", "Nd", "Ge", "Ge", "Ge", "Ge", "O", "O"], "fractional_positions": [[0.0022, 0.0008, 0.2409], [0.0022, 0.4992, 0.2409], [0.4176, 0.7500, 0.5885], [0.4395, 0.7500, 0.1285], [0.5605, 0.2500, 0.8715], [0.5824, 0.2500, 0.4115], [0.9978, 0.5008, 0.7591], [0.9978, 0.9992, 0.7591], [0.2193, 0.2500, 0.5502], [0.2492, 0.2500, 0.0641], [0.7508, 0.7500, 0.9359], [0.7807, 0.7500, 0.4498], [0.2330, 0.7500, 0.3077], [0.7670, 0.2500, 0.6923]], "sg": "No. 11", "magmom_total_mub_per_atom": 0.000, "energy_ev_per_atom": -6.00, "dos_ef_per_ev_cell": 10.16, "e_form_raw_ev_per_atom": -1.25, "relative_energy_mev_per_atom": 0}

Entry 3:
{"formula": "Y3ErTl4", "functional": "GGA-PBE", "state": "relaxed", "cell": [[3.7896, 0.0000, 0.0000], [0.0000, 3.7896, 0.0000], [0.0000, 0.0000, 15.1387]], "species": ["Y", "Y", "Y", "Er", "Tl", "Tl", "Tl", "Tl"], "fractional_positions": [[0.0000, 0.0000, 0.0000], [0.0000, 0.0000, 0.2518], [0.0000, 0.0000, 0.7482], [0.0000, 0.0000, 0.5000], [0.5000, 0.5000, 0.1261], [0.5000, 0.5000, 0.3777], [0.5000, 0.5000, 0.6223], [0.5000, 0.5000, 0.8739]], "sg": "No. 123", "magmom_total_mub_per_atom": 0.000, "energy_ev_per_atom": -4.54, "dos_ef_per_ev_cell": 5.40}

Entry 4:
{"formula": "CoSiP", "functional": "GGA-PBE", "state": "relaxed", "cell": [[7.5914, 0.0000, 0.0000], [0.0000, 3.5511, 0.0000], [0.0000, 0.0000, 5.8928]], "species": ["Co", "Co", "Co", "Co", "Si", "Si", "Si", "Si", "P", "P", "P", "P"], "fractional_positions": [[0.0967, 0.2500, 0.0887], [0.4033, 0.7500, 0.5887], [0.5967, 0.2500, 0.4113], [0.9033, 0.7500, 0.9113], [0.2277, 0.2500, 0.4484], [0.2723, 0.7500, 0.9484], [0.7277, 0.2500, 0.0516], [0.7723, 0.7500, 0.5516], [0.0128, 0.2500, 0.7334], [0.4872, 0.7500, 0.2334], [0.5128, 0.2500, 0.7666], [0.9872, 0.7500, 0.2666]], "sg": "No. 62", "magmom_total_mub_per_atom": 0.000, "energy_ev_per_atom": -6.26, "dos_ef_per_ev_cell": 4.52, "e_form_raw_ev_per_atom": -0.28}

Entry 5:
{"formula": "ZnFeTe2", "functional": "GGA-PBE", "state": "relaxed", "cell": [[4.1353, 0.0000, 0.0000], [0.0000, 4.1356, 0.0000], [-0.0193, 0.0000, 5.8470]], "species": ["Zn", "Fe", "Te", "Te"], "fractional_positions": [[0.0000, 0.0000, 0.0000], [0.9922, 0.5000, 0.7205], [0.4939, 0.5000, 0.9862], [0.9858, 0.0000, 0.4672]], "sg": "No. 6", "magmom_total_mub_per_atom": 0.624, "energy_ev_per_atom": -3.94, "dos_ef_per_ev_cell": 5.22, "e_form_raw_ev_per_atom": 0.06}

Entry 6:
{"formula": "PaP3Ru5", "functional": "GGA-PBE", "state": "relaxed", "cell": [[1.9299, -6.0251, 0.0000], [1.9299, 6.0251, 0.0000], [0.0000, 0.0000, 12.0722]], "species": ["Pa", "Pa", "P", "P", "P", "P", "P", "P", "Ru", "Ru", "Ru", "Ru", "Ru", "Ru", "Ru", "Ru", "Ru", "Ru"], "fractional_positions": [[0.1677, 0.8323, 0.7500], [0.8323, 0.1677, 0.2500], [0.1230, 0.8770, 0.2500], [0.3889, 0.6111, 0.0453], [0.3889, 0.6111, 0.4547], [0.6111, 0.3889, 0.5453], [0.6111, 0.3889, 0.9547], [0.8770, 0.1230, 0.7500], [0.0000, 0.0000, 0.0000], [0.0000, 0.0000, 0.5000], [0.2082, 0.7918, 0.0785], [0.2082, 0.7918, 0.4215], [0.4435, 0.5565, 0.6466], [0.4435, 0.5565, 0.8534], [0.5565, 0.4435, 0.1466], [0.5565, 0.4435, 0.3534], [0.7918, 0.2082, 0.5785], [0.7918, 0.2082, 0.9215]], "sg": "No. 63", "magmom_total_mub_per_atom": 0.000, "energy_ev_per_atom": -8.54, "dos_ef_per_ev_cell": 12.93}

Entry 7:
{"formula": "LaEu2Pd", "functional": "GGA-PBE", "state": "relaxed", "cell": [[3.6885, 0.0000, 0.0000], [0.0000, 3.6885, 0.0000], [0.0000, 0.0000, 9.2860]], "species": ["La", "Eu", "Eu", "Pd"], "fractional_positions": [[0.0000, 0.0000, 0.0000], [0.5000, 0.5000, 0.3133], [0.5000, 0.5000, 0.6867], [0.0000, 0.0000, 0.5000]], "sg": "No. 123", "magmom_total_mub_per_atom": 3.587, "energy_ev_per_atom": -7.96, "dos_ef_per_ev_cell": 16.06, "relative_energy_mev_per_atom": 0}

Entry 8:
{"formula": "B2C", "functional": "GGA-PBE", "state": "relaxed", "cell": [[5.7178, -1.3573, 0.0000], [5.7178, 1.3573, 0.0000], [-0.7189, 0.0000, 5.5677]], "species": ["B", "B", "B", "B", "B", "B", "B", "B", "C", "C", "C", "C"], "fractional_positions": [[0.0000, 0.0000, 0.0000], [0.0074, 0.0074, 0.3645], [0.2663, 0.2663, 0.2714], [0.3035, 0.3035, 0.9960], [0.6252, 0.6252, 0.1999], [0.6389, 0.6389, 0.7165], [0.8661, 0.8661, 0.4768], [0.8746, 0.8746, 0.1596], [0.2363, 0.2363, 0.7445], [0.3132, 0.3132, 0.5537], [0.5578, 0.5578, 0.9327], [0.5713, 0.5713, 0.4459]], "sg": "No. 8", "magmom_total_mub_per_atom": 0.000, "energy_ev_per_atom": -7.22, "dos_ef_per_ev_cell": 0.82, "relative_energy_mev_per_atom": 120}

Q: Which formula does entry 2 have?
A: Nd4Ge2O